[1]
A plane-wave DFT calculation with PBE-GGA was carried out for a relaxed Ir4F crystal.

Geometry as extended XYZ:
```
5
Lattice="-1.456 -0.030 3.943 3.432 -2.078 1.252 1.940 3.654 0.745" Properties=species:S:1:pos:R:3 pbc="T T T"
Ir 0.242 1.812 2.344
F 1.958 0.773 2.970
Ir 0.000 0.000 0.000
Ir 0.988 -1.054 2.597
Ir 2.686 0.788 0.998
```

Raw formation energy   1.419 eV/atom
M_tot   0.00 μB/atom
V   74 Å³/cell

[2]
A plane-wave DFT calculation with PBE-GGA was carried out for a relaxed IrF12 crystal.

Geometry as extended XYZ:
```
13
Lattice="5.623 0.000 -1.988 -2.812 4.870 -1.988 0.000 0.000 5.964" Properties=species:S:1:pos:R:3 pbc="T T T"
F 1.202 0.733 4.264
F 2.845 3.462 0.288
F 4.032 1.407 -1.390
F -1.220 3.462 3.378
F 2.014 0.675 0.598
Ir 0.000 0.000 0.000
F 0.423 2.082 -0.598
F -0.033 1.407 1.700
F -1.576 4.195 -0.288
F 2.389 2.788 2.586
F 4.388 0.675 2.276
F 1.610 4.137 -2.276
F 0.797 4.195 1.390
```

Raw formation energy   0.000 eV/atom
M_tot   0.69 μB/atom
V   163 Å³/cell

[3]
A plane-wave DFT calculation with PBE-GGA was carried out for a relaxed Ir3F crystal.

Geometry as extended XYZ:
```
4
Lattice="4.276 0.000 0.000 2.138 3.703 0.000 2.138 1.234 3.491" Properties=species:S:1:pos:R:3 pbc="T T T"
Ir 2.138 1.234 0.873
F 0.000 0.000 0.000
Ir 6.414 3.703 2.618
Ir 4.276 2.469 1.746
```

Raw formation energy   0.362 eV/atom
M_tot   0.07 μB/atom
V   55 Å³/cell

[4]
A plane-wave DFT calculation with PBE-GGA was carried out for a relaxed KIrF2 crystal.

Geometry as extended XYZ:
```
4
Lattice="1.728 0.000 7.604 -0.864 1.497 7.604 -0.864 -1.497 7.604" Properties=species:S:1:pos:R:3 pbc="T T T"
F 0.000 0.000 20.789
Ir 0.000 0.000 0.000
F 0.000 0.000 2.024
K 0.000 0.000 11.407
```

E above lowest polymorph   0 meV/atom
Raw formation energy   -1.280 eV/atom
M_tot   0.11 μB/atom
V   59 Å³/cell

[5]
A plane-wave DFT calculation with PBE-GGA was carried out for a relaxed KIrF crystal.

Geometry as extended XYZ:
```
3
Lattice="2.852 0.000 0.000 0.000 2.854 0.000 0.000 0.000 6.609" Properties=species:S:1:pos:R:3 pbc="T T T"
K 0.000 1.427 0.519
Ir 1.426 0.000 4.182
F 1.426 0.000 1.962
```

E above lowest polymorph   846 meV/atom
Raw formation energy   -0.375 eV/atom
M_tot   0.67 μB/atom
V   54 Å³/cell

[6]
A plane-wave DFT calculation with PBE-GGA was carried out for a relaxed KIrF crystal.

Geometry as extended XYZ:
```
12
Lattice="3.337 0.000 0.000 0.000 3.337 0.000 0.000 0.000 20.588" Properties=species:S:1:pos:R:3 pbc="T T T"
K 0.000 0.000 3.549
K 1.669 1.669 17.106
Ir 1.669 1.669 10.160
Ir 0.000 0.000 11.003
Ir 1.669 1.669 0.709
F 0.000 0.000 15.190
K 0.000 0.000 6.812
Ir 0.000 0.000 20.454
F 1.669 1.669 7.979
F 1.669 1.669 4.896
F 0.000 0.000 18.273
K 1.669 1.669 13.843
```

E above lowest polymorph   36 meV/atom
Raw formation energy   -1.185 eV/atom
M_tot   0.00 μB/atom
V   229 Å³/cell

[7]
A plane-wave DFT calculation with PBE-GGA was carried out for a relaxed KIrF crystal.

Geometry as extended XYZ:
```
12
Lattice="6.299 0.000 0.006 0.000 2.815 0.000 -0.957 0.000 13.730" Properties=species:S:1:pos:R:3 pbc="T T T"
K 4.669 0.000 8.201
Ir 1.818 1.408 9.479
Ir 3.047 0.000 11.122
Ir 2.296 0.000 2.614
F 1.061 0.000 0.920
F 0.583 1.408 7.785
K 5.147 1.408 1.336
F 4.281 0.000 12.816
Ir 3.525 1.408 4.257
K 0.674 0.000 5.535
F 4.760 1.408 5.951
K 0.196 1.408 12.400
```

E above lowest polymorph   309 meV/atom
Raw formation energy   -0.912 eV/atom
M_tot   0.16 μB/atom
V   244 Å³/cell

[8]
A plane-wave DFT calculation with PBE-GGA was carried out for a relaxed KIrF2 crystal.

Geometry as extended XYZ:
```
4
Lattice="0.203 2.516 3.667 1.170 4.284 -0.303 -3.031 3.189 0.682" Properties=species:S:1:pos:R:3 pbc="T T T"
F -0.414 2.497 1.011
K 0.000 0.000 0.000
F -1.243 7.492 3.034
Ir -0.829 4.995 2.023
```

E above lowest polymorph   868 meV/atom
Raw formation energy   -0.412 eV/atom
M_tot   0.56 μB/atom
V   62 Å³/cell

[9]
A plane-wave DFT calculation with PBE-GGA was carried out for a relaxed K2IrF7 crystal.

Geometry as extended XYZ:
```
10
Lattice="6.364 0.000 0.000 3.182 5.511 0.000 3.182 1.837 5.196" Properties=species:S:1:pos:R:3 pbc="T T T"
F 4.553 2.629 4.076
K 3.182 1.837 1.299
F 6.364 3.674 2.598
F 8.174 4.719 1.120
K 9.545 5.511 3.897
F 6.364 5.765 4.076
F 8.174 2.629 4.076
Ir 0.000 0.000 0.000
F 6.364 1.583 1.120
F 4.553 4.719 1.120
```

E above lowest polymorph   148 meV/atom
Raw formation energy   -1.896 eV/atom
M_tot   0.20 μB/atom
V   182 Å³/cell

[10]
A plane-wave DFT calculation with PBE-GGA was carried out for a relaxed K3IrF8 crystal.

Geometry as extended XYZ:
```
12
Lattice="5.815 0.000 0.000 0.000 5.815 0.000 0.000 0.000 5.815" Properties=species:S:1:pos:R:3 pbc="T T T"
F 1.180 1.180 4.635
F 4.635 1.180 1.180
F 1.180 4.635 1.180
F 1.180 1.180 1.180
F 1.180 4.635 4.635
F 4.635 4.635 1.180
K 0.000 2.907 2.907
F 4.635 4.635 4.635
K 2.907 0.000 2.907
F 4.635 1.180 4.635
Ir 0.000 0.000 0.000
K 2.907 2.907 0.000
```

E above lowest polymorph   14 meV/atom
Raw formation energy   -2.139 eV/atom
M_tot   0.00 μB/atom
V   197 Å³/cell

[11]
A plane-wave DFT calculation with PBE-GGA was carried out for a relaxed KIr3F crystal.

Geometry as extended XYZ:
```
5
Lattice="-2.921 -1.762 2.879 -2.797 -0.867 -3.369 1.889 -4.009 -0.537" Properties=species:S:1:pos:R:3 pbc="T T T"
F 0.000 0.000 0.000
Ir 0.944 -2.004 -0.268
Ir -1.461 -0.881 1.439
Ir -1.399 -0.433 -1.684
K -1.915 -3.319 -0.513
```

E above lowest polymorph   0 meV/atom
Raw formation energy   1.519 eV/atom
M_tot   0.00 μB/atom
V   89 Å³/cell

[12]
A plane-wave DFT calculation with PBE-GGA was carried out for a relaxed K2IrF7 crystal.

Geometry as extended XYZ:
```
20
Lattice="-1.895 -4.744 -3.771 5.446 -4.725 -2.139 -2.429 -6.592 4.168" Properties=species:S:1:pos:R:3 pbc="T T T"
F -1.124 -7.731 2.742
K 0.831 -8.973 1.103
F 3.973 -5.000 -2.554
F -1.678 -9.174 0.167
Ir 3.387 -5.418 -0.743
F 2.800 -6.887 -1.910
F -0.545 -11.612 -0.663
K -1.005 -4.135 -0.563
F -2.850 -11.061 0.811
F 2.247 -8.329 -4.485
F 1.668 -4.449 -1.079
F -1.328 -9.345 -2.112
K 2.128 -11.926 -1.180
F -0.577 -6.474 0.885
F 2.450 -6.715 0.370
F -2.229 -6.390 -2.025
F 3.351 -9.670 0.282
Ir -2.265 -10.642 -1.000
K 0.291 -7.088 -2.846
F 1.699 -9.587 -2.628
```

E above lowest polymorph   0 meV/atom
Raw formation energy   -2.044 eV/atom
M_tot   0.00 μB/atom
V   326 Å³/cell